No. 1
Density functional theory data (PBE-GGA) for Er8MgSc2 after structural relaxation.

For the calculated density, the calculation gives 7.60 g/cm3. For the energy above the most stable polymorph in this dataset, the calculation gives 0.000 eV per atom. Its total magnetization is 0.0 μB per cell.

It has space group C2/m (No. 12), with a = 18.732 Å, b = 5.417 Å, c = 6.269 Å, α = 90.00°, β = 94.07° and γ = 90.00°. The asymmetric unit holds Er at (0.047, 0.000, 0.263), Er at (0.082, 0.500, 0.593), Er at (0.155, 0.000, 0.805), Er at (0.164, 0.500, 0.126), Mg at (0.000, 0.500, 0.000) and Sc at (0.241, 0.000, 0.342).



No. 2
Density functional theory data (PBE-GGA) for HfMnFe2W after structural relaxation.

For the calculated density, the calculation gives 11.04 g/cm3. Its total magnetization is 2.2 μB per cell. The calculation puts the total DFT energy (no corrections) at -8.97 eV/atom.

It has space group P4/mmm (No. 123), with a = 4.201 Å, b = 4.201 Å, c = 4.510 Å, α = 90.00°, β = 90.00° and γ = 90.00°. The asymmetric unit holds Hf at (0.000, 0.000, 0.000), Mn at (0.500, 0.500, 0.500), Fe at (0.000, 0.500, 0.500) and W at (0.500, 0.500, 0.000).



Question: Which value of total magnetization does entry 2 give?
Answer: 2.2 μB per cell